# Ta2BeAlBr, relaxed, DFT PBE
data_Ta2BeAlBr
_cell_length_a 4.809
_cell_length_b 4.809
_cell_length_c 4.034
_cell_angle_alpha 90.00
_cell_angle_beta 90.00
_cell_angle_gamma 90.00
_symmetry_space_group_name_H-M 'P 4/m m m'
_symmetry_Int_Tables_number 123
_symmetry_space_group_name_Hall '-P 4 2'
loop_
_atom_site_label
_atom_site_fract_x
_atom_site_fract_y
_atom_site_fract_z
_atom_site_occupancy
Ta1 0.000 0.500 0.000 1
Be1 0.000 0.000 0.500 1
Al1 0.500 0.500 0.500 1
Br1 0.000 0.000 0.000 1
# DFT total energy = -5.145 eV/atom
# formation energy (no corrections) = 1.425 eV per atom